Computed, not measured: crystalline NbCdBr2 at its relaxed geometry at the GGA-PBE level of DFT.

Results
E above lowest polymorph	0.4165	eV per atom
space-group type	No. 166
V	27.46	A^3/atom
DFT total energy	-14.07	eV per cell
calculated density	5521	kg/m3

a = 11.196 Å, b = 11.196 Å, c = 11.196 Å
α = 17.42°, β = 17.42°, γ = 17.42°
Last column: magnetic moment on the atom in μB.
Sites, in units of the cell vectors:
Br (0.926, 0.926, 0.926)  -0.01
Br (0.074, 0.074, 0.074)  -0.01
Nb (0.000, 0.000, 0.000)  0.61
Cd (0.500, 0.500, 0.500)  -0.01